# MoAuNF2 PBE with a Hubbard U relaxed
# Energy   -4.16 eV/atom
# D(E_F)   0.41 states/eV per atom
data_MoAuNF2
_chemical_formula_sum 'Mo1 Au1 N1 F2'
_cell_length_a 4.644
_cell_length_b 4.644
_cell_length_c 3.823
_cell_angle_alpha 90.00
_cell_angle_beta 90.00
_cell_angle_gamma 90.00
_space_group_name_H-M_alt 'P 4/m m m'
_space_group_IT_number 123
_space_group_name_Hall '-P 4 2'
loop_
_atom_site_label
_atom_site_type_symbol
_atom_site_fract_x
_atom_site_fract_y
_atom_site_fract_z
_atom_site_occupancy
Mo1 Mo 0.000 0.000 0.000 1
Au1 Au 0.500 0.500 0.500 1
N1 N 0.500 0.500 0.000 1
F1 F 0.000 0.500 0.500 1